DyCu9Pd2 | GGA-PBE | relaxed

It has space group R-3m (No. 166, hexagonal axes), with a = 4.9421 Å, b = 4.9421 Å, c = 23.6930 Å, α = 90.00°, β = 90.00° and γ = 120.00°. The inequivalent atoms are Dy at (0.0000, 0.0000, 0.0000), Cu at (0.0000, 0.0000, 0.3341), Cu at (0.0000, 0.0000, 0.5000), Cu at (0.0054, 0.5027, 0.9138) and Pd at (0.0000, 0.0000, 0.1449).

Its size of the total moment is 0.0 μB per formula unit. Its formation energy from the elements is -3.77 kcal/mol of atoms. The value obtained for the density of states at the Fermi level is 4.858 states/eV/f.u.